Record 1
{"formula": "CuAg2", "functional": "PBE", "state": "optimized geometry", "lattice_angstrom": [[4.711, -1.431, 0.000], [4.711, 1.431, 0.000], [-4.700, 0.000, 10.595]], "species": ["Cu", "Cu", "Cu", "Ag", "Ag", "Ag", "Ag", "Ag", "Ag"], "fractional_positions": [[0.000, 0.000, 0.000], [0.010, 0.010, 0.674], [0.652, 0.652, 0.570], [0.327, 0.327, 0.472], [0.336, 0.336, 0.774], [0.338, 0.338, 0.112], [0.663, 0.663, 0.889], [0.664, 0.664, 0.225], [0.998, 0.998, 0.352]], "space_group": "Cm", "delta_e_f_ev_per_fu": 0.2}



Record 2
{"formula": "Cu4Ag5", "functional": "PBE", "state": "optimized geometry", "lattice_angstrom": [[4.748, -1.430, 0.000], [4.748, 1.430, 0.000], [-4.227, 0.000, 10.113]], "species": ["Cu", "Cu", "Cu", "Cu", "Ag", "Ag", "Ag", "Ag", "Ag"], "fractional_positions": [[0.000, 0.000, 0.000], [0.006, 0.006, 0.355], [0.027, 0.027, 0.672], [0.653, 0.653, 0.554], [0.337, 0.337, 0.467], [0.345, 0.345, 0.766], [0.348, 0.348, 0.127], [0.664, 0.664, 0.231], [0.672, 0.672, 0.894]], "space_group": "Cm", "delta_e_f_ev_per_fu": 0.8}



Record 3
{"formula": "CuAg8", "functional": "PBE", "state": "optimized geometry", "lattice_angstrom": [[7.500, -1.461, 0.000], [7.500, 1.461, 0.000], [-5.023, 0.000, 7.093]], "species": ["Cu", "Ag", "Ag", "Ag", "Ag", "Ag", "Ag", "Ag", "Ag"], "fractional_positions": [[0.000, 0.000, 0.000], [0.000, 0.000, 0.330], [0.000, 0.000, 0.670], [0.333, 0.333, 0.333], [0.337, 0.337, 0.000], [0.337, 0.337, 0.675], [0.663, 0.663, 0.000], [0.663, 0.663, 0.325], [0.667, 0.667, 0.667]], "space_group": "C2/m", "delta_e_f_ev_per_fu": 0.3}



Record 4
{"formula": "Cu3Ag2", "functional": "PBE", "state": "optimized geometry", "lattice_angstrom": [[6.676, 0.000, 0.000], [0.000, 2.759, 0.000], [-1.836, 0.000, 7.760]], "species": ["Cu", "Cu", "Cu", "Cu", "Cu", "Cu", "Ag", "Ag", "Ag", "Ag"], "fractional_positions": [[0.098, 0.000, 0.310], [0.182, 0.500, 0.586], [0.376, 0.500, 0.204], [0.624, 0.500, 0.796], [0.818, 0.500, 0.414], [0.902, 0.000, 0.690], [0.000, 0.500, 0.000], [0.312, 0.000, 0.880], [0.500, 0.000, 0.500], [0.688, 0.000, 0.120]], "space_group": "P2/m", "delta_e_f_ev_per_fu": 0.5}



no.,density (Mg/m³),distance to the lowest polymorph of the same formula (kJ per mole of atoms),energy (eV per atom)
1,9.74,4.1,-3.048
2,9.59,5.0,-3.131
3,9.90,1.3,-2.890
4,9.44,4.7,-3.270